Material: ZrMoOF2
Method: DFT, GGA+U
State: relaxed

Values from the calculation:
D(E_F): 2.87 states/eV/f.u.
relative energy among the computed polymorphs: 681.2 meV per atom
M_tot: 0.6242 μB/atom
raw total energy: -6.07 eV per atom

POSCAR file:
```
ZrMoOF2
1.0
3.976 0.000 0.000
0.000 6.144 0.000
0.000 0.000 3.976
F O Mo Zr
2 1 1 1
direct
0.500 0.000 0.000
0.000 0.000 0.500
0.500 0.500 0.500
0.000 0.500 0.000
0.000 0.000 0.000
```